*i*
Computed, not measured: a geometry-optimized Re3PPb structure at the PBE level of DFT.

## Properties
**Space group**: Pm-3m (221)
**Total magnetic moment**: 2.0 Bohr magnetons per cell

Unit cell a=4.4827 b=4.4827 c=4.4827 alpha=90.00 beta=90.00 gamma=90.00
Closest atoms and distances in Å follow each position.
Positions (direct):
Re  0.0000  0.0000  0.5000  2 P 2.24
Re  0.0000  0.5000  0.0000  2 P 2.24
Re  0.5000  0.0000  0.0000  2 P 2.24
P  0.0000  0.0000  0.0000  6 Re 2.24
Pb  0.5000  0.5000  0.5000  12 Re 3.17

***

*ii*
Computed, not measured: a geometry-optimized Re3PPb structure at the PBE level of DFT.

## Properties
**Space group**: Pm-3m (221)
**Total magnetic moment**: 3.2 Bohr magnetons per cell

Unit cell a=4.9760 b=4.9760 c=4.9760 alpha=90.00 beta=90.00 gamma=90.00
Closest atoms and distances in Å follow each position.
Positions (direct):
Re  0.0000  0.0000  0.5000  2 Pb 2.49
Re  0.0000  0.5000  0.0000  2 Pb 2.49
Re  0.5000  0.0000  0.0000  2 Pb 2.49
P  0.5000  0.5000  0.5000  12 Re 3.52
Pb  0.0000  0.0000  0.0000  6 Re 2.49

***

It turns out *i* is the most stable, with the second structure 2537 meV per atom higher.

***

*i*
Computed, not measured: a geometry-optimized RePPb3 structure at the PBE level of DFT.

## Properties
**Space group**: Pm-3m (221)
**Total magnetic moment**: 3.5 Bohr magnetons per cell

Unit cell a=5.3442 b=5.3442 c=5.3442 alpha=90.00 beta=90.00 gamma=90.00
Closest atoms and distances in Å follow each position.
Positions (direct):
Re  0.0000  0.0000  0.0000  12 Pb 3.78
P  0.5000  0.5000  0.5000  6 Pb 2.67
Pb  0.0000  0.5000  0.5000  2 P 2.67
Pb  0.5000  0.0000  0.5000  2 P 2.67
Pb  0.5000  0.5000  0.0000  2 P 2.67

***

*ii*
Computed, not measured: a geometry-optimized RePPb3 structure at the PBE level of DFT.

## Properties
**Space group**: Pm-3m (221)
**Total magnetic moment**: 2.0 Bohr magnetons per cell

Unit cell a=5.3244 b=5.3244 c=5.3244 alpha=90.00 beta=90.00 gamma=90.00
Closest atoms and distances in Å follow each position.
Positions (direct):
Re  0.0000  0.0000  0.0000  6 Pb 2.66
P  0.5000  0.5000  0.5000  12 Pb 3.76
Pb  0.0000  0.0000  0.5000  2 Re 2.66
Pb  0.0000  0.5000  0.0000  2 Re 2.66
Pb  0.5000  0.0000  0.0000  2 Re 2.66

***

It turns out *ii* is the most stable, with the second structure 617 meV per atom higher.

***

*i*
Computed, not measured: a geometry-optimized PRu2Pb structure at the PBE level of DFT.

## Properties
**Space group**: Cm (8)
**Total magnetic moment**: 0.0 Bohr magnetons per cell

Unit cell a=8.1065 b=3.0335 c=6.0028 alpha=90.00 beta=99.67 gamma=90.00
Closest atoms and distances in Å follow each position.
Positions (direct):
P  0.0000  0.0000  0.0000  5 Ru 2.30-2.32
P  0.5000  0.5000  0.0000  5 Ru 2.30-2.32
Ru  0.2104  0.5000  0.9652  3 P 2.32
Ru  0.4441  0.0000  0.2665  2 P 2.30
Ru  0.7104  0.0000  0.9652  3 P 2.32
Ru  0.9441  0.5000  0.2665  2 P 2.30
Pb  0.2102  0.0000  0.5484  5 Ru 2.75-2.93, 2 Pb 3.03
Pb  0.7102  0.5000  0.5484  5 Ru 2.75-2.93, 2 Pb 3.03

***

*ii*
Computed, not measured: a geometry-optimized PRu2Pb structure at the PBE level of DFT.

## Properties
**Space group**: R-3m (166)
**Total magnetic moment**: 0.0 Bohr magnetons per cell

Unit cell a=3.5934 b=3.5934 c=19.1798 alpha=90.00 beta=90.00 gamma=120.00
Closest atoms and distances in Å follow each position.
Positions (direct):
P  0.0000  0.0000  0.0000  6 Ru 2.31
P  0.3333  0.6667  0.6667  6 Ru 2.31
P  0.6667  0.3333  0.3333  6 Ru 2.31
Ru  0.0000  0.0000  0.2809  3 P 2.31
Ru  0.0000  0.0000  0.7191  3 P 2.31
Ru  0.3333  0.6667  0.3858  3 P 2.31
Ru  0.3333  0.6667  0.9476  3 P 2.31
Ru  0.6667  0.3333  0.0524  3 P 2.31
Ru  0.6667  0.3333  0.6142  3 P 2.31
Pb  0.0000  0.0000  0.5000  6 Ru 3.02
Pb  0.3333  0.6667  0.1667  6 Ru 3.02
Pb  0.6667  0.3333  0.8333  6 Ru 3.02

***

*iii*
Computed, not measured: a geometry-optimized PRu2Pb structure at the PBE level of DFT.

## Properties
**Space group**: P4mm (99)
**Total magnetic moment**: 0.2 Bohr magnetons per cell

Unit cell a=3.2920 b=3.2920 c=6.3855 alpha=90.00 beta=90.00 gamma=90.00
Closest atoms and distances in Å follow each position.
Positions (direct):
P  0.0000  0.0000  0.0000  5 Ru 2.31-2.38
Ru  0.0000  0.0000  0.6381  1 P 2.31
Ru  0.5000  0.5000  0.9234  4 P 2.38
Pb  0.5000  0.5000  0.3799  5 Ru 2.85-2.91

***

It turns out *ii* is the most stable, with the second structure 64 meV per atom higher.

***

*i*
Computed, not measured: a geometry-optimized PRu2Pb structure at the PBE level of DFT.

## Properties
**Space group**: Imm2 (44)
**Total magnetic moment**: 0.0 Bohr magnetons per cell

Unit cell a=3.1177 b=3.1505 c=13.8609 alpha=90.00 beta=90.00 gamma=90.00
Closest atoms and distances in Å follow each position.
Positions (direct):
P  0.0000  0.0000  0.0000  6 Ru 2.30-2.40
P  0.5000  0.5000  0.5000  6 Ru 2.30-2.40
Ru  0.0000  0.0000  0.4339  4 P 2.40
Ru  0.0000  0.5000  0.6219  2 P 2.30
Ru  0.5000  0.0000  0.1219  2 P 2.30
Ru  0.5000  0.5000  0.9339  4 P 2.40
Pb  0.0000  0.5000  0.2560  6 Ru 2.89-2.93, 4 Pb 3.12-3.15
Pb  0.5000  0.0000  0.7560  6 Ru 2.89-2.93, 4 Pb 3.12-3.15

***

*ii*
Computed, not measured: a geometry-optimized PRu2Pb structure at the PBE level of DFT.

## Properties
**Space group**: F-43m (216)
**Total magnetic moment**: 0.0 Bohr magnetons per cell

Unit cell a=6.4473 b=6.4473 c=6.4473 alpha=90.00 beta=90.00 gamma=90.00
Closest atoms and distances in Å follow each position.
Positions (direct):
P  0.0000  0.0000  0.0000  4 Ru 2.79, 4 Pb 2.79
P  0.0000  0.5000  0.5000  4 Ru 2.79, 4 Pb 2.79
P  0.5000  0.0000  0.5000  4 Ru 2.79, 4 Pb 2.79
P  0.5000  0.5000  0.0000  4 Ru 2.79, 4 Pb 2.79
Ru  0.0000  0.0000  0.5000  4 Pb 2.79, 4 Ru 2.79
Ru  0.0000  0.5000  0.0000  4 Pb 2.79, 4 Ru 2.79
Ru  0.2500  0.2500  0.2500  4 Ru 2.79, 4 P 2.79
Ru  0.2500  0.7500  0.7500  4 Ru 2.79, 4 P 2.79
Ru  0.5000  0.0000  0.0000  4 Pb 2.79, 4 Ru 2.79
Ru  0.5000  0.5000  0.5000  4 Pb 2.79, 4 Ru 2.79
Ru  0.7500  0.2500  0.7500  4 Ru 2.79, 4 P 2.79
Ru  0.7500  0.7500  0.2500  4 Ru 2.79, 4 P 2.79
Pb  0.2500  0.2500  0.7500  4 Ru 2.79, 4 P 2.79
Pb  0.2500  0.7500  0.2500  4 Ru 2.79, 4 P 2.79
Pb  0.7500  0.2500  0.2500  4 Ru 2.79, 4 P 2.79
Pb  0.7500  0.7500  0.7500  4 Ru 2.79, 4 P 2.79

***

It turns out *i* is the most stable, with the second structure 747 meV per atom higher.